(1)
Density functional theory data (PBE-GGA) for an optimized crystal structure of InFeNiPd.

Properties
electronic total energy	-89.69	eV per cell

a b c (Å): 6.2094 6.2094 6.2094
angles (deg): 90.00 90.00 90.00
Space group F-43m (No. 216)
Unique sites:
In  0.0000  0.0000  0.0000 x4
Fe  0.0000  0.0000  0.5000 x4
Ni  0.2500  0.2500  0.7500 x4
Pd  0.2500  0.2500  0.2500 x4

(2)
Density functional theory data (PBE-GGA) for an optimized crystal structure of KPS2Cl.

Properties
energy relative to the elements, uncorrected	624.2	meV/atom
polymorph energy (0 for the lowest one)	1046	meV/atom

a b c (Å): 5.1303 5.1303 4.7387
angles (deg): 90.00 90.00 90.00
Space group P4/mmm (No. 123)
Unique sites:
K  0.0000  0.0000  0.0000 x1
P  0.5000  0.5000  0.0000 x1
S  0.0000  0.5000  0.5000 x2
Cl  0.5000  0.5000  0.5000 x1

Number 1: magnetic moment 13.11 Bohr magnetons per cell, mass density 9.315 g/cm3. Number 2: magnetic moment 2.28 Bohr magnetons per cell, mass density 2.259 g/cm3.